Entry 1:
# Hf2MgPb, optimized geometry, DFT PBE
data_Hf2MgPb
_chemical_formula_sum 'Hf2 Mg1 Pb1'
_cell_length_a 5.0312
_cell_length_b 5.0312
_cell_length_c 5.0312
_cell_angle_alpha 60.00
_cell_angle_beta 60.00
_cell_angle_gamma 60.00
_symmetry_space_group_name_H-M 'P 1'
_symmetry_Int_Tables_number 1
loop_
_symmetry_equiv_pos_as_xyz
'x,y,z'
loop_
_atom_site_label
_atom_site_fract_x
_atom_site_fract_y
_atom_site_fract_z
Pb1 0.5000 0.5000 0.5000
Mg1 0.0000 0.0000 0.0000
Hf1 0.2500 0.2500 0.2500
Hf2 0.7500 0.7500 0.7500
# Calculated total energy: -24.2 eV/cell
# SG: Fm-3m
# Magnetic moment: 0.00 μB per atom


Entry 2:
# CdGePb, optimized geometry, DFT PBE
data_CdGePb
_chemical_formula_sum 'Cd2 Ge2 Pb2'
_cell_length_a 3.8470
_cell_length_b 5.8182
_cell_length_c 7.6998
_cell_angle_alpha 110.81
_cell_angle_beta 104.47
_cell_angle_gamma 90.00
_symmetry_space_group_name_H-M 'P 1'
_symmetry_Int_Tables_number 1
loop_
_symmetry_equiv_pos_as_xyz
'x,y,z'
loop_
_atom_site_label
_atom_site_fract_x
_atom_site_fract_y
_atom_site_fract_z
Ge1 0.7574 0.1589 0.5148
Ge2 0.2426 0.8411 0.4852
Cd1 0.5682 0.7567 0.1364
Cd2 0.4318 0.2433 0.8636
Pb1 0.8867 0.7130 0.7735
Pb2 0.1133 0.2870 0.2265
# Calculated total energy: -17.7 eV/cell
# SG: C2/m
# Magnetic moment: 0.00 μB per atom
# Energy relative to the lowest polymorph listed for this composition: 0 meV/atom


Entry 3:
# La2ErTm3As6, optimized geometry, DFT PBE
data_La2ErTm3As6
_chemical_formula_sum 'La2 Er1 Tm3 As6'
_cell_length_a 4.1782
_cell_length_b 8.3466
_cell_length_c 9.3278
_cell_angle_alpha 102.87
_cell_angle_beta 102.94
_cell_angle_gamma 90.00
_symmetry_space_group_name_H-M 'P 1'
_symmetry_Int_Tables_number 1
loop_
_symmetry_equiv_pos_as_xyz
'x,y,z'
loop_
_atom_site_label
_atom_site_fract_x
_atom_site_fract_y
_atom_site_fract_z
La1 0.8350 0.6694 0.6700
La2 0.1650 0.3306 0.3300
Er1 0.5000 0.0000 0.0000
Tm1 0.5000 0.5000 0.0000
Tm2 0.8329 0.1656 0.6657
Tm3 0.1671 0.8344 0.3343
As1 0.3338 0.9289 0.6675
As2 0.6629 0.5929 0.3258
As3 0.6662 0.0711 0.3325
As4 0.9955 0.2479 0.9910
As5 0.0045 0.7521 0.0090
As6 0.3371 0.4071 0.6742
# Calculated total energy: -73.8 eV/cell
# SG: C2/m
# Magnetic moment: 0.00 μB per atom